# LiPrErHg

LiPrErHg after structural relaxation (PBE, the Alexandria database).

```
LiPrErHg
1.0
0.000 3.756 3.756
3.756 0.000 3.756
3.756 3.756 0.000
Li Pr Er Hg
1 1 1 1
Cartesian
0.000 0.000 0.000
5.634 5.634 5.634
1.878 1.878 1.878
3.756 3.756 3.756
```

Properties
DFT formation energy = -0.197 eV per atom
E = -0.227 Ry/atom
space-group type = No. 216
crystal system = cubic
volume = 26.487 Å³ per atom
magnetization = 0.4 Bohr magnetons per cell